## TlP2N (PBE-GGA)

Data for a relaxed TlP2N crystal.

Unit cell a=6.418 b=6.418 c=6.418 alpha=90.00 beta=90.00 gamma=90.00
Fractional positions:
Tl (0.000, 0.000, 0.000)
Tl (0.000, 0.500, 0.500)
Tl (0.500, 0.000, 0.500)
Tl (0.500, 0.500, 0.000)
P (0.250, 0.250, 0.250)
P (0.250, 0.250, 0.750)
P (0.250, 0.750, 0.250)
P (0.250, 0.750, 0.750)
P (0.750, 0.250, 0.250)
P (0.750, 0.250, 0.750)
P (0.750, 0.750, 0.250)
P (0.750, 0.750, 0.750)
N (0.000, 0.000, 0.500)
N (0.000, 0.500, 0.000)
N (0.500, 0.000, 0.000)
N (0.500, 0.500, 0.500)

Summary:
The calculation puts the uncorrected formation energy at 1729 meV per atom. The calculation puts the density of states at the Fermi level at 9.2 states/eV per cell. As for the space group: Fm-3m (225).



## Cu6GePd12 (PBE-GGA)

Data for a relaxed Cu6GePd12 crystal.

Unit cell a=7.208 b=7.208 c=7.208 alpha=110.75 beta=110.75 gamma=110.75
Fractional positions:
Cu (0.052, 0.367, 0.580)
Cu (0.367, 0.580, 0.052)
Cu (0.420, 0.948, 0.633)
Cu (0.580, 0.052, 0.367)
Cu (0.633, 0.420, 0.948)
Cu (0.948, 0.633, 0.420)
Ge (0.000, 0.000, 0.000)
Pd (0.109, 0.739, 0.163)
Pd (0.163, 0.109, 0.739)
Pd (0.207, 0.475, 0.319)
Pd (0.261, 0.837, 0.891)
Pd (0.319, 0.207, 0.475)
Pd (0.475, 0.319, 0.207)
Pd (0.525, 0.681, 0.793)
Pd (0.681, 0.793, 0.525)
Pd (0.739, 0.163, 0.109)
Pd (0.793, 0.525, 0.681)
Pd (0.837, 0.891, 0.261)
Pd (0.891, 0.261, 0.837)

Summary:
The calculation puts the density of states at the Fermi level at 15.4 states/eV per cell. As for the space group: R-3 (148). Its formation energy is -248.5 kJ/mol of formula units.



## ZrCdBr6 (PBE-GGA)

Data for a relaxed ZrCdBr6 crystal.

Unit cell a=6.808 b=13.256 c=6.802 alpha=90.00 beta=110.12 gamma=90.00
Fractional positions:
Zr (0.000, 0.000, 0.000)
Zr (0.500, 0.500, 0.000)
Cd (0.000, 0.500, 0.500)
Cd (0.500, 0.000, 0.500)
Br (0.234, 0.000, 0.767)
Br (0.243, 0.144, 0.243)
Br (0.243, 0.856, 0.243)
Br (0.257, 0.356, 0.757)
Br (0.257, 0.644, 0.757)
Br (0.266, 0.500, 0.233)
Br (0.734, 0.500, 0.767)
Br (0.743, 0.356, 0.243)
Br (0.743, 0.644, 0.243)
Br (0.757, 0.144, 0.757)
Br (0.757, 0.856, 0.757)
Br (0.766, 0.000, 0.233)

Summary:
The calculation puts the uncorrected formation energy at -1120 meV per atom. The calculation puts the density of states at the Fermi level at 0.0 states/eV per cell. As for the space group: C2/m (12).



## NaLa2ZrTa (PBE-GGA)

Data for a relaxed NaLa2ZrTa crystal.

Unit cell a=5.371 b=5.371 c=5.161 alpha=90.00 beta=90.00 gamma=90.00
Fractional positions:
Na (0.000, 0.000, 0.000)
La (0.000, 0.500, 0.000)
La (0.500, 0.000, 0.000)
Zr (0.500, 0.500, 0.500)
Ta (0.000, 0.000, 0.500)

Summary:
The calculation puts the density of states at the Fermi level at 9.5 states/eV per cell. As for the space group: P4/mmm (123). Its formation energy is 734.3 kJ/mol of formula units.



## LiBeF3 (PBE-GGA)

Data for a relaxed LiBeF3 crystal.

Unit cell a=3.493 b=3.493 c=3.493 alpha=90.00 beta=90.00 gamma=90.00
Fractional positions:
Li (0.000, 0.000, 0.000)
Be (0.500, 0.500, 0.500)
F (0.000, 0.500, 0.500)
F (0.500, 0.000, 0.500)
F (0.500, 0.500, 0.000)

Summary:
The calculation puts the uncorrected formation energy at -2861 meV per atom. The calculation puts the density of states at the Fermi level at 0.0 states/eV per cell. As for the space group: Pm-3m (221).



## HgPtS2 (PBE-GGA)

Data for a relaxed HgPtS2 crystal.

Unit cell a=7.492 b=4.279 c=15.316 alpha=90.00 beta=90.00 gamma=90.00
Fractional positions:
Hg (0.245, 0.250, 0.236)
Hg (0.255, 0.750, 0.736)
Hg (0.745, 0.250, 0.264)
Hg (0.755, 0.750, 0.764)
Pt (0.055, 0.250, 0.915)
Pt (0.445, 0.750, 0.415)
Pt (0.555, 0.250, 0.585)
Pt (0.945, 0.750, 0.085)
S (0.038, 0.250, 0.764)
S (0.055, 0.250, 0.068)
S (0.445, 0.750, 0.568)
S (0.462, 0.750, 0.264)
S (0.538, 0.250, 0.736)
S (0.555, 0.250, 0.432)
S (0.945, 0.750, 0.932)
S (0.962, 0.750, 0.236)

Summary:
The calculation puts the uncorrected formation energy at -30 meV per atom. The calculation puts the density of states at the Fermi level at 4.1 states/eV per cell. As for the space group: Pnma (62).



## TeSeI2Cl (PBE-GGA)

Data for a relaxed TeSeI2Cl crystal.

Unit cell a=5.755 b=5.755 c=5.525 alpha=90.00 beta=90.00 gamma=90.00
Fractional positions:
Te (0.000, 0.000, 0.000)
Se (0.500, 0.500, 0.000)
I (0.000, 0.500, 0.500)
I (0.500, 0.000, 0.500)
Cl (0.000, 0.000, 0.500)

Summary:
The calculation puts the uncorrected formation energy at 845 meV per atom. The calculation puts the density of states at the Fermi level at 5.5 states/eV per cell. As for the space group: P4/mmm (123).



## Na2HoInI6 (PBE-GGA)

Data for a relaxed Na2HoInI6 crystal.

Unit cell a=8.792 b=8.792 c=8.792 alpha=54.98 beta=54.98 gamma=54.98
Fractional positions:
Na (0.000, 0.000, 0.000)
Na (0.487, 0.487, 0.487)
Ho (0.812, 0.812, 0.812)
In (0.300, 0.300, 0.300)
I (0.056, 0.429, 0.729)
I (0.204, 0.871, 0.614)
I (0.429, 0.729, 0.056)
I (0.614, 0.204, 0.871)
I (0.729, 0.056, 0.429)
I (0.871, 0.614, 0.204)

Summary:
The calculation puts the uncorrected formation energy at -1137 meV per atom. The calculation puts the density of states at the Fermi level at 0.0 states/eV per cell. As for the space group: R3 (146).



## Ac2PrNdSm (PBE-GGA)

Data for a relaxed Ac2PrNdSm crystal.

Unit cell a=6.499 b=8.937 c=6.935 alpha=90.00 beta=90.00 gamma=90.00
Fractional positions:
Ac (0.250, 0.204, 0.204)
Ac (0.250, 0.796, 0.204)
Ac (0.750, 0.204, 0.796)
Ac (0.750, 0.796, 0.796)
Pr (0.250, 0.500, 0.915)
Pr (0.750, 0.500, 0.085)
Nd (0.250, 0.000, 0.671)
Nd (0.750, 0.000, 0.329)
Sm (0.000, 0.500, 0.500)
Sm (0.500, 0.500, 0.500)

Summary:
The calculation puts the density of states at the Fermi level at 13.6 states/eV per cell. As for the space group: Pmma (51). Its formation energy is 117.9 kJ/mol of formula units.



## La6PmSmEr2 (PBE-GGA)

Data for a relaxed La6PmSmEr2 crystal.

Unit cell a=9.010 b=9.010 c=9.920 alpha=94.59 beta=94.59 gamma=117.34
Fractional positions:
La (0.008, 0.563, 0.190)
La (0.105, 0.756, 0.553)
La (0.244, 0.895, 0.947)
La (0.298, 0.509, 0.378)
La (0.437, 0.992, 0.310)
La (0.491, 0.702, 0.122)
La (0.509, 0.298, 0.878)
La (0.563, 0.008, 0.690)
La (0.702, 0.491, 0.622)
La (0.756, 0.105, 0.053)
La (0.895, 0.244, 0.447)
La (0.992, 0.437, 0.810)
Pm (0.408, 0.592, 0.750)
Pm (0.592, 0.408, 0.250)
Sm (0.026, 0.974, 0.250)
Sm (0.974, 0.026, 0.750)
Er (0.195, 0.288, 0.047)
Er (0.288, 0.195, 0.547)
Er (0.712, 0.805, 0.453)
Er (0.805, 0.712, 0.953)

Summary:
The calculation puts the density of states at the Fermi level at 30.3 states/eV per cell. As for the space group: C2/c (15). Its formation energy is 97.9 kJ/mol of formula units.



## Sr2Zn2Pb (PBE-GGA)

Data for a relaxed Sr2Zn2Pb crystal.

Unit cell a=6.217 b=6.217 c=8.352 alpha=90.00 beta=90.00 gamma=90.00
Fractional positions:
Sr (0.000, 0.500, 0.250)
Sr (0.000, 0.500, 0.750)
Sr (0.500, 0.000, 0.250)
Sr (0.500, 0.000, 0.750)
Zn (0.000, 0.000, 0.144)
Zn (0.000, 0.000, 0.856)
Zn (0.500, 0.500, 0.356)
Zn (0.500, 0.500, 0.644)
Pb (0.000, 0.000, 0.500)
Pb (0.500, 0.500, 0.000)

Summary:
The calculation puts the density of states at the Fermi level at 7.9 states/eV per cell. As for the space group: I4/mmm (139). Its formation energy is -72.6 kJ/mol of formula units.



## Hf3ReTc2 (PBE-GGA)

Data for a relaxed Hf3ReTc2 crystal.

Unit cell a=3.267 b=3.267 c=9.803 alpha=90.00 beta=90.00 gamma=90.00
Fractional positions:
Hf (0.000, 0.000, 0.000)
Hf (0.000, 0.000, 0.332)
Hf (0.000, 0.000, 0.668)
Re (0.500, 0.500, 0.500)
Tc (0.500, 0.500, 0.166)
Tc (0.500, 0.500, 0.834)

Summary:
The calculation puts the density of states at the Fermi level at 5.2 states/eV per cell. As for the space group: P4/mmm (123). Its formation energy is -247.0 kJ/mol of formula units.



## HoZnCuAg (PBE-GGA)

Data for a relaxed HoZnCuAg crystal.

Unit cell a=6.625 b=6.625 c=6.625 alpha=90.00 beta=90.00 gamma=90.00
Fractional positions:
Ho (0.000, 0.000, 0.000)
Ho (0.000, 0.500, 0.500)
Ho (0.500, 0.000, 0.500)
Ho (0.500, 0.500, 0.000)
Zn (0.250, 0.250, 0.750)
Zn (0.250, 0.750, 0.250)
Zn (0.750, 0.250, 0.250)
Zn (0.750, 0.750, 0.750)
Cu (0.250, 0.250, 0.250)
Cu (0.250, 0.750, 0.750)
Cu (0.750, 0.250, 0.750)
Cu (0.750, 0.750, 0.250)
Ag (0.000, 0.000, 0.500)
Ag (0.000, 0.500, 0.000)
Ag (0.500, 0.000, 0.000)
Ag (0.500, 0.500, 0.500)

Summary:
The calculation puts the density of states at the Fermi level at 19.5 states/eV per cell. As for the space group: F-43m (216). Its formation energy is -72.8 kJ/mol of formula units.



## Pr2NiGe4Ir3 (PBE-GGA)

Data for a relaxed Pr2NiGe4Ir3 crystal.

Unit cell a=4.300 b=4.300 c=10.073 alpha=90.00 beta=90.00 gamma=90.00
Fractional positions:
Pr (0.000, 0.500, 0.247)
Pr (0.500, 0.000, 0.753)
Ni (0.000, 0.000, 0.500)
Ge (0.000, 0.000, 0.000)
Ge (0.000, 0.500, 0.626)
Ge (0.500, 0.000, 0.374)
Ge (0.500, 0.500, 0.000)
Ir (0.000, 0.500, 0.872)
Ir (0.500, 0.000, 0.128)
Ir (0.500, 0.500, 0.500)

Summary:
The calculation puts the density of states at the Fermi level at 8.5 states/eV per cell. As for the space group: P-4m2 (115). Its formation energy is -689.6 kJ/mol of formula units.



## CsAuClF2 (PBE-GGA)

Data for a relaxed CsAuClF2 crystal.

Unit cell a=4.745 b=4.745 c=4.915 alpha=90.00 beta=90.00 gamma=90.00
Fractional positions:
Cs (0.000, 0.000, 0.000)
Au (0.500, 0.500, 0.500)
Cl (0.500, 0.500, 0.000)
F (0.000, 0.500, 0.500)
F (0.500, 0.000, 0.500)

Summary:
The calculation puts the uncorrected formation energy at -1394 meV per atom. The calculation puts the density of states at the Fermi level at 1.1 states/eV per cell. As for the space group: P4/mmm (123).



## CsTlAs2O8 (PBE-GGA)

Data for a relaxed CsTlAs2O8 crystal.

Unit cell a=9.654 b=9.654 c=9.654 alpha=32.43 beta=32.43 gamma=32.43
Fractional positions:
Cs (0.000, 0.000, 0.000)
Tl (0.500, 0.500, 0.500)
As (0.234, 0.234, 0.234)
As (0.766, 0.766, 0.766)
O (0.098, 0.483, 0.771)
O (0.229, 0.517, 0.902)
O (0.297, 0.297, 0.297)
O (0.483, 0.771, 0.098)
O (0.517, 0.902, 0.229)
O (0.703, 0.703, 0.703)
O (0.771, 0.098, 0.483)
O (0.902, 0.229, 0.517)

Summary:
The calculation puts the uncorrected formation energy at -926 meV per atom. The calculation puts the density of states at the Fermi level at 4.9 states/eV per cell. As for the space group: R32 (155).



## Cs3Na3Tl2 (PBE-GGA)

Data for a relaxed Cs3Na3Tl2 crystal.

Unit cell a=7.360 b=7.360 c=18.800 alpha=90.00 beta=90.00 gamma=128.75
Fractional positions:
Cs (0.006, 0.994, 0.750)
Cs (0.167, 0.833, 0.038)
Cs (0.167, 0.833, 0.462)
Cs (0.833, 0.167, 0.538)
Cs (0.833, 0.167, 0.962)
Cs (0.994, 0.006, 0.250)
Na (0.288, 0.712, 0.250)
Na (0.481, 0.519, 0.102)
Na (0.481, 0.519, 0.398)
Na (0.519, 0.481, 0.602)
Na (0.519, 0.481, 0.898)
Na (0.712, 0.288, 0.750)
Tl (0.282, 0.718, 0.669)
Tl (0.282, 0.718, 0.831)
Tl (0.718, 0.282, 0.169)
Tl (0.718, 0.282, 0.331)

Summary:
The calculation puts the density of states at the Fermi level at 6.4 states/eV per cell. As for the space group: Cmcm (63). Its formation energy is -14.5 kJ/mol of formula units.



## HfZr2Pb (PBE-GGA)

Data for a relaxed HfZr2Pb crystal.

Unit cell a=3.214 b=5.251 c=11.383 alpha=90.07 beta=98.03 gamma=90.01
Fractional positions:
Hf (0.019, 0.250, 0.078)
Hf (0.981, 0.750, 0.922)
Zr (0.373, 0.250, 0.838)
Zr (0.472, 0.250, 0.321)
Zr (0.528, 0.750, 0.679)
Zr (0.627, 0.750, 0.162)
Pb (0.097, 0.750, 0.413)
Pb (0.903, 0.250, 0.587)

Summary:
The calculation puts the density of states at the Fermi level at 8.3 states/eV per cell. As for the space group: P-1 (2). Its formation energy is -9.3 kJ/mol of formula units.



## Li8Rh3 (PBE-GGA)

Data for a relaxed Li8Rh3 crystal.

Unit cell a=6.422 b=6.422 c=11.466 alpha=122.31 beta=122.31 gamma=23.79
Fractional positions:
Li (0.080, 0.080, 0.271)
Li (0.159, 0.159, 0.534)
Li (0.274, 0.274, 0.818)
Li (0.376, 0.376, 0.092)
Li (0.624, 0.624, 0.908)
Li (0.726, 0.726, 0.182)
Li (0.841, 0.841, 0.466)
Li (0.920, 0.920, 0.729)
Rh (0.000, 0.000, 0.000)
Rh (0.448, 0.448, 0.360)
Rh (0.552, 0.552, 0.640)

Summary:
The calculation puts the density of states at the Fermi level at 7.4 states/eV per cell. As for the space group: C2/m (12). Its formation energy is -86.4 kJ/mol of formula units.



## Ba6Ag2H (PBE-GGA)

Data for a relaxed Ba6Ag2H crystal.

Unit cell a=7.722 b=8.700 c=13.750 alpha=90.00 beta=124.04 gamma=90.00
Fractional positions:
Ba (0.111, 0.030, 0.244)
Ba (0.111, 0.470, 0.744)
Ba (0.226, 0.685, 0.063)
Ba (0.226, 0.815, 0.563)
Ba (0.387, 0.174, 0.062)
Ba (0.387, 0.326, 0.562)
Ba (0.613, 0.674, 0.438)
Ba (0.613, 0.826, 0.938)
Ba (0.774, 0.185, 0.437)
Ba (0.774, 0.315, 0.937)
Ba (0.889, 0.530, 0.256)
Ba (0.889, 0.970, 0.756)
Ag (0.304, 0.114, 0.748)
Ag (0.304, 0.386, 0.248)
Ag (0.696, 0.614, 0.752)
Ag (0.696, 0.886, 0.252)
H (0.000, 0.000, 0.000)
H (0.000, 0.500, 0.500)

Summary:
The calculation puts the density of states at the Fermi level at 17.5 states/eV per cell. As for the space group: P2_1/c (14). For the energy, the calculation gives -2.481 eV per atom.